Computed, not measured: a geometry-optimized La3SbO4 structure at the GGA-PBE level of DFT.

Unit cell a=4.0785 b=4.0785 c=10.5925 alpha=90.00 beta=90.00 gamma=90.00
With the nearest neighbours (Å) after each atom.
Sites, in units of the cell vectors:
La 0.0000 0.0000 0.0000  8 O 2.53
La 0.5000 0.5000 0.2401  4 O 2.29
La 0.5000 0.5000 0.7599  4 O 2.29
Sb 0.0000 0.0000 0.5000  8 La 3.99, 4 Sb 4.08, 8 O 4.31
O 0.0000 0.5000 0.1413  4 La 2.29-2.53
O 0.0000 0.5000 0.8587  4 La 2.29-2.53
O 0.5000 0.0000 0.1413  4 La 2.29-2.53
O 0.5000 0.0000 0.8587  4 La 2.29-2.53

space-group type: P4/mmm
energy relative to the elements, uncorrected: -2.872 eV/atom
total magnetic moment: 0.018 μB/f.u.
raw total energy: -0.5670 Ry/atom
Fermi-level density of states: 3.02 states/eV per cell